A relaxed structure of Y2TeIr. Source: Alexandria via LeMat-Bulk, functional GGA-PBE.

As for the total DFT energy (no corrections): -7.19 eV per atom.

abc: 4.0696 4.2853 6.0082
angles: 90.00 109.79 90.00
Element x y z (fractional)
Y: 0.0000 0.0000 0.0000
Y: 0.2945 0.5000 0.5870
Te: 0.7184 0.0000 0.4348
Ir: 0.5369 0.5000 0.0758